A geometry-optimized Sr2ZnP structure, computed with PBE.

Summary:
Mass density (Mg/m³): 3.312
ΔE_f (eV per atom): -0.339
Energy above the lowest structure with this stoichiometry (eV/atom): 0.3132

Unit cell a=8.2995 b=8.2995 c=7.9086 alpha=90.00 beta=90.00 gamma=90.00
Atoms (fractional coordinates):
Sr 0.2136 0.2500 0.1250
Sr 0.2500 0.7136 0.3750
Sr 0.2500 0.7864 0.8750
Sr 0.2864 0.2500 0.6250
Sr 0.7136 0.7500 0.6250
Sr 0.7500 0.2136 0.8750
Sr 0.7500 0.2864 0.3750
Sr 0.7864 0.7500 0.1250
Zn 0.0000 0.0000 0.5000
Zn 0.0000 0.5000 0.7500
Zn 0.5000 0.0000 0.2500
Zn 0.5000 0.5000 0.0000
P 0.0000 0.0000 0.0000
P 0.0000 0.5000 0.2500
P 0.5000 0.0000 0.7500
P 0.5000 0.5000 0.5000

---

A geometry-optimized Li3Hg2Pd7 structure, computed with PBE.

Summary:
Mass density (Mg/m³): 9.110
ΔE_f (eV per atom): -0.208

Unit cell a=10.4739 b=10.4739 c=4.5084 alpha=90.00 beta=90.00 gamma=154.53
Atoms (fractional coordinates):
Li 0.0000 0.0000 0.0000
Li 0.1516 0.8484 0.0000
Li 0.8484 0.1516 0.0000
Hg 0.3524 0.6476 0.5000
Hg 0.6476 0.3524 0.5000
Pd 0.0723 0.9277 0.5000
Pd 0.2166 0.7834 0.5000
Pd 0.4307 0.5693 0.0000
Pd 0.5000 0.5000 0.5000
Pd 0.5693 0.4307 0.0000
Pd 0.7834 0.2166 0.5000
Pd 0.9277 0.0723 0.5000

---

A geometry-optimized Li3SnSe3 structure, computed with PBE.

Summary:
ΔE_f (raw) (eV per atom): -0.843
Mass density (Mg/m³): 4.412

Unit cell a=8.2753 b=8.2753 c=8.2753 alpha=90.00 beta=90.00 gamma=90.00
Atoms (fractional coordinates):
Li 0.0661 0.4339 0.5661
Li 0.1690 0.1690 0.1690
Li 0.1879 0.8121 0.3121
Li 0.3121 0.1879 0.8121
Li 0.3310 0.8310 0.6690
Li 0.4339 0.5661 0.0661
Li 0.5661 0.0661 0.4339
Li 0.6690 0.3310 0.8310
Li 0.6879 0.6879 0.6879
Li 0.8121 0.3121 0.1879
Li 0.8310 0.6690 0.3310
Li 0.9339 0.9339 0.9339
Sn 0.0865 0.5865 0.9135
Sn 0.4135 0.4135 0.4135
Sn 0.5865 0.9135 0.0865
Sn 0.9135 0.0865 0.5865
Se 0.0050 0.7544 0.6267
Se 0.1267 0.4950 0.2456
Se 0.2456 0.1267 0.4950
Se 0.2544 0.8733 0.9950
Se 0.3733 0.5050 0.7456
Se 0.4950 0.2456 0.1267
Se 0.5050 0.7456 0.3733
Se 0.6267 0.0050 0.7544
Se 0.7456 0.3733 0.5050
Se 0.7544 0.6267 0.0050
Se 0.8733 0.9950 0.2544
Se 0.9950 0.2544 0.8733

---

A geometry-optimized Tb4Nd2Hg structure, computed with PBE.

Summary:
Mass density (Mg/m³): 8.291
ΔE_f (eV per atom): -0.046

Unit cell a=17.0014 b=3.6439 c=8.1590 alpha=90.00 beta=116.95 gamma=90.00
Atoms (fractional coordinates):
Tb 0.0572 0.0000 0.2398
Tb 0.1424 0.5000 0.9701
Tb 0.3576 0.0000 0.0299
Tb 0.4428 0.5000 0.7602
Tb 0.5572 0.5000 0.2398
Tb 0.6424 0.0000 0.9701
Tb 0.8576 0.5000 0.0299
Tb 0.9428 0.0000 0.7602
Nd 0.2131 0.5000 0.6306
Nd 0.2869 0.0000 0.3694
Nd 0.7131 0.0000 0.6306
Nd 0.7869 0.5000 0.3694
Hg 0.0000 0.5000 0.5000
Hg 0.5000 0.0000 0.5000

---

A geometry-optimized NaPuZnSe3 structure, computed with PBE.

Summary:
ΔE_f (raw) (eV per atom): -1.111
Mass density (Mg/m³): 5.621

Unit cell a=8.3827 b=4.1478 c=9.9843 alpha=90.00 beta=104.34 gamma=90.00
Atoms (fractional coordinates):
Na 0.1904 0.2500 0.1816
Na 0.8096 0.7500 0.8184
Pu 0.3253 0.7500 0.8491
Pu 0.6747 0.2500 0.1509
Zn 0.0820 0.2500 0.6019
Zn 0.9180 0.7500 0.3981
Se 0.0807 0.2500 0.8489
Se 0.2186 0.7500 0.5364
Se 0.4367 0.7500 0.1476
Se 0.5633 0.2500 0.8524
Se 0.7814 0.2500 0.4636
Se 0.9193 0.7500 0.1511

---

A geometry-optimized La2Pd2Se structure, computed with PBE.

Summary:
ΔE_f (raw) (eV per atom): -0.891
Mass density (Mg/m³): 7.412
Energy above the lowest structure with this stoichiometry (eV/atom): 0.3340

Unit cell a=5.6397 b=5.6397 c=8.0247 alpha=90.00 beta=90.00 gamma=90.00
Atoms (fractional coordinates):
La 0.0000 0.5000 0.2500
La 0.0000 0.5000 0.7500
La 0.5000 0.0000 0.2500
La 0.5000 0.0000 0.7500
Pd 0.0000 0.0000 0.1587
Pd 0.0000 0.0000 0.8413
Pd 0.5000 0.5000 0.3413
Pd 0.5000 0.5000 0.6587
Se 0.0000 0.0000 0.5000
Se 0.5000 0.5000 0.0000

---

A geometry-optimized Ce4Se3O2 structure, computed with PBE.

Summary:
ΔE_f (raw) (eV per atom): -2.382
Mass density (Mg/m³): 6.852

Unit cell a=6.8783 b=6.8783 c=9.0107 alpha=120.50 beta=120.50 gamma=33.79
Atoms (fractional coordinates):
Ce 0.1043 0.1043 0.3968
Ce 0.3137 0.3137 0.8917
Ce 0.6863 0.6863 0.1083
Ce 0.8957 0.8957 0.6032
Se 0.0000 0.0000 0.0000
Se 0.3861 0.3861 0.2822
Se 0.6139 0.6139 0.7178
O 0.3096 0.3096 0.6314
O 0.6904 0.6904 0.3686

---

A geometry-optimized MnNbBiCl2 structure, computed with PBE.

Summary:
ΔE_f (raw) (eV per atom): 0.047
Mass density (Mg/m³): 5.263

Unit cell a=4.7274 b=4.7274 c=6.0386 alpha=90.00 beta=90.00 gamma=90.00
Atoms (fractional coordinates):
Mn 0.0000 0.0000 0.0000
Nb 0.5000 0.5000 0.5000
Bi 0.5000 0.5000 0.0000
Cl 0.0000 0.5000 0.5000
Cl 0.5000 0.0000 0.5000

---

Which formula does entry 1 have? Sr2ZnP